KAg3S2 | PBE | optimized geometry

Values from the calculation:
E_tot = -3.365 eV/atom
ρ = 4.84 g/cm³

Lattice parameters (Å, degrees): 9.389 9.389 9.389 60.00 60.00 60.00
Sites, in units of the cell vectors:
K  0.000  0.000  0.000
K  0.000  0.000  0.500
K  0.000  0.500  0.000
K  0.500  0.000  0.000
Ag  0.214  0.214  0.536
Ag  0.214  0.536  0.214
Ag  0.214  0.536  0.536
Ag  0.464  0.464  0.786
Ag  0.464  0.786  0.464
Ag  0.464  0.786  0.786
Ag  0.536  0.214  0.214
Ag  0.536  0.214  0.536
Ag  0.536  0.536  0.214
Ag  0.786  0.464  0.464
Ag  0.786  0.464  0.786
Ag  0.786  0.786  0.464
S  0.237  0.754  0.754
S  0.246  0.246  0.246
S  0.246  0.246  0.763
S  0.246  0.763  0.246
S  0.754  0.237  0.754
S  0.754  0.754  0.237
S  0.754  0.754  0.754
S  0.763  0.246  0.246